1.
Density functional theory data (PBE) for an optimized crystal structure of Y2BRh3.

spin magnetization = 0.00 μB/atom
calculated total energy = -7.274 eV/atom
E_form = -31.9 kJ per mole of atoms

a b c (Å): 3.2645 5.1750 12.6746
angles (deg): 90.00 90.00 90.00
Closest atoms and distances in Å follow each position.
Space group Immm (No. 71)
One atom of each set of equivalent atoms:
Y1 0.0000 0.0000 0.1821 (multiplicity 4)  4 Rh 2.75-2.83
B1 0.0000 0.0000 0.5000 (multiplicity 2)  4 Rh 2.13
Rh1 0.0000 0.5000 0.1083 (multiplicity 4)  2 B 2.13
Rh2 0.0000 0.5000 0.5000 (multiplicity 2)  2 B 2.59, 4 Y 2.83


2.
Density functional theory data (PBE) for an optimized crystal structure of YB4Rh.

spin magnetization = 0.00 μB/atom
calculated total energy = -7.361 eV/atom
E_form = -58.5 kJ per mole of atoms

a b c (Å): 5.9697 11.5734 3.5728
angles (deg): 90.00 90.00 90.00
Closest atoms and distances in Å follow each position.
Space group Pbam (No. 55)
One atom of each set of equivalent atoms:
Y1 0.1310 0.1489 0.0000 (multiplicity 4)  14 B 2.63-2.78
B1 0.0227 0.6927 0.5000 (multiplicity 4)  3 B 1.77-1.87
B2 0.1121 0.5469 0.5000 (multiplicity 4)  3 B 1.72-1.77
B3 0.1362 0.9691 0.5000 (multiplicity 4)  3 B 1.75-1.86
B4 0.2101 0.8130 0.5000 (multiplicity 4)  3 B 1.79-1.87
Rh1 0.1416 0.4056 0.0000 (multiplicity 4)  10 B 2.26-2.43


3.
Density functional theory data (PBE) for an optimized crystal structure of YB2Rh3.

spin magnetization = 0.00 μB/atom
distance to the lowest polymorph of the same formula = 0.0000 eV per atom
calculated total energy = -7.685 eV/atom
E_form = -68.1 kJ per mole of atoms

a b c (Å): 5.4355 5.4355 3.1316
angles (deg): 90.00 90.00 120.00
Closest atoms and distances in Å follow each position.
Space group P6/mmm (No. 191)
One atom of each set of equivalent atoms:
Y1 0.0000 0.0000 0.0000 (multiplicity 1)  2 Y 3.13, 12 Rh 3.14, 6 B 3.14
B1 0.3333 0.6667 0.0000 (multiplicity 2)  6 Rh 2.22
Rh1 0.0000 0.5000 0.5000 (multiplicity 3)  4 B 2.22


4.
Density functional theory data (PBE) for an optimized crystal structure of Y2B2Rh.

spin magnetization = 0.00 μB/atom
calculated total energy = -7.199 eV/atom
E_form = -45.5 kJ per mole of atoms

a b c (Å): 6.4532 6.4532 3.7566
angles (deg): 90.00 90.00 90.00
Closest atoms and distances in Å follow each position.
Space group P4/mbm (No. 127)
One atom of each set of equivalent atoms:
Y1 0.1878 0.3122 0.0000 (multiplicity 4)  6 B 2.69-2.73
B1 0.0947 0.5947 0.5000 (multiplicity 4)  1 B 1.73
Rh1 0.0000 0.0000 0.5000 (multiplicity 2)  4 B 2.69